First-principles (GGA-PBE) data for an optimized crystal structure of NdAl11Re, as listed in Alexandria.

a = 6.8900 Å, b = 6.8900 Å, c = 7.1798 Å
α = 98.02°, β = 98.02°, γ = 134.76°
Last column: nearest neighbours and their distance in Å.
Atoms (fractional coordinates):
Nd: 0.0000 0.0000 0.0000  18 Al 3.27-3.59, 2 Re 3.61
Al: 0.0000 0.0000 0.5000  2 Re 2.65, 8 Al 2.68-2.77
Al: 0.0000 0.5000 0.0000  10 Al 2.65-2.96
Al: 0.0201 0.3670 0.3608  8 Al 2.70-3.01, 1 Re 2.71
Al: 0.2830 0.5012 0.7753  1 Re 2.64, 7 Al 2.68-2.91
Al: 0.3670 0.0201 0.3608  8 Al 2.70-3.01, 1 Re 2.71
Al: 0.4988 0.7170 0.2247  1 Re 2.64, 7 Al 2.68-2.91
Al: 0.5000 0.0000 0.0000  10 Al 2.65-2.96
Al: 0.5012 0.2830 0.7753  1 Re 2.64, 7 Al 2.68-2.91
Al: 0.6330 0.9799 0.6392  8 Al 2.70-3.01, 1 Re 2.71
Al: 0.7170 0.4988 0.2247  1 Re 2.64, 7 Al 2.68-2.91
Al: 0.9799 0.6330 0.6392  8 Al 2.70-3.01, 1 Re 2.71
Re: 0.5000 0.5000 0.5000  10 Al 2.64-2.71

- Energy of formation: -0.212 eV per atom
- Symmetry: C2/m (12)
- V: 17.35 Å³/atom
- Electronic total energy: -61.14 eV/cell
- Size of the total moment: 0.00 μB per atom